A relaxed structure of Pm2CdNi4Sn3. Source: Alexandria, functional PBE.

## Properties
formation energy	-0.45	eV/atom
DOS(E_F)	0.82	states/eV/atom

a b c (Å): 4.437 4.437 10.167
angles (deg): 90.00 90.00 90.00
Element x y z (fractional)
Pm: 0.500 0.000 0.238
Pm: 0.000 0.500 0.762
Cd: 0.500 0.500 0.500
Ni: 0.500 0.500 0.000
Ni: 0.000 0.000 0.000
Ni: 0.500 0.000 0.632
Ni: 0.000 0.500 0.368
Sn: 0.000 0.000 0.500
Sn: 0.500 0.000 0.875
Sn: 0.000 0.500 0.125


A relaxed structure of SrPmCdNi. Source: Alexandria, functional PBE.

## Properties
formation energy	-0.07	eV/atom
DOS(E_F)	0.78	states/eV/atom

a b c (Å): 5.292 5.292 5.292
angles (deg): 60.00 60.00 60.00
Element x y z (fractional)
Sr: 0.000 0.000 0.000
Cd: 0.750 0.750 0.750
Ni: 0.250 0.250 0.250
Pm: 0.500 0.500 0.500


Copy entry 1 word for word.
A relaxed structure of Pm2CdNi4Sn3. Source: Alexandria, functional PBE.

## Properties
formation energy	-0.45	eV/atom
DOS(E_F)	0.82	states/eV/atom

a b c (Å): 4.437 4.437 10.167
angles (deg): 90.00 90.00 90.00
Element x y z (fractional)
Pm: 0.500 0.000 0.238
Pm: 0.000 0.500 0.762
Cd: 0.500 0.500 0.500
Ni: 0.500 0.500 0.000
Ni: 0.000 0.000 0.000
Ni: 0.500 0.000 0.632
Ni: 0.000 0.500 0.368
Sn: 0.000 0.000 0.500
Sn: 0.500 0.000 0.875
Sn: 0.000 0.500 0.125


Question: What is the formula in the first record?
Answer: Pm2CdNi4Sn3


Question: Number 1 is which compound?
Answer: Pm2CdNi4Sn3